Entry 1:
Here is an optimized crystal structure of Ti2AlMoH from Alexandria. Energies are from PBE.

Polymorph energy (0 for the lowest one) (kJ/mol of formula units): 0
Calculated density (g/cm3): 5.5

Geometry as POSCAR:
```
Ti2AlMoH
1.0
4.2706 0.0000 0.0000
0.0000 4.2706 0.0000
0.0000 0.0000 3.6346
Ti Al Mo H
2 1 1 1
direct
0.0000 0.5000 0.0000
0.5000 0.0000 0.0000
0.0000 0.0000 0.5000
0.5000 0.5000 0.5000
0.5000 0.5000 0.0000
```


Entry 2:
Here is an optimized crystal structure of Ti2AlMoH from Alexandria. Energies are from PBE.

Polymorph energy (0 for the lowest one) (kJ/mol of formula units): 70
Calculated density (g/cm3): 5.5

Geometry as POSCAR:
```
Ti2AlMoH
1.0
3.8266 0.0000 0.0000
0.0000 3.8266 0.0000
0.0000 0.0000 4.4945
Ti Al Mo H
2 1 1 1
direct
0.0000 0.5000 0.0000
0.5000 0.0000 0.0000
0.0000 0.0000 0.5000
0.5000 0.5000 0.5000
0.0000 0.0000 0.0000
```


Entry 3:
Here is an optimized crystal structure of Al3HN2 from Alexandria. Energies are from PBE.

Total energy (eV/atom): -5.83
Calculated density (g/cm3): 2.6

Geometry as POSCAR:
```
Al3HN2
1.0
-1.5440 4.4266 2.5937
1.5440 -4.4266 2.5937
1.5440 4.4266 -2.5937
Al H N
3 1 2
direct
0.0000 0.0000 0.0000
0.1628 0.8310 0.3318
0.4992 0.8310 0.6682
0.8237 0.3237 0.5000
0.3209 0.1186 0.2023
0.9163 0.1186 0.7977
```


Entry 4:
Here is an optimized crystal structure of AlHN2 from Alexandria. Energies are from PBE.

Polymorph energy (0 for the lowest one) (kJ/mol of formula units): 0
Calculated density (g/cm3): 2.7

Geometry as POSCAR:
```
AlHN2
1.0
1.5316 0.8842 4.3024
-1.5316 0.8842 4.3024
0.0000 -1.7685 4.3024
Al H N
1 1 2
direct
0.0000 0.0000 0.0000
0.5000 0.5000 0.5000
0.4054 0.4054 0.4054
0.5946 0.5946 0.5946
```


Entry 5:
Here is an optimized crystal structure of AlHN2 from Alexandria. Energies are from PBE.

Polymorph energy (0 for the lowest one) (kJ/mol of formula units): 572
Calculated density (g/cm3): 2.6

Geometry as POSCAR:
```
AlHN2
1.0
1.4925 0.8617 4.6689
-1.4925 0.8617 4.6689
0.0000 -1.7234 4.6689
Al H N
1 1 2
direct
0.0000 0.0000 0.0000
0.5000 0.5000 0.5000
0.1473 0.1473 0.1473
0.8527 0.8527 0.8527
```


Entry 6:
Here is an optimized crystal structure of AlH3N from Alexandria. Energies are from PBE.

Polymorph energy (0 for the lowest one) (kJ/mol of formula units): 0
Calculated density (g/cm3): 2.1

Geometry as POSCAR:
```
AlH3N
1.0
3.2396 0.0000 0.0000
0.0000 3.2396 0.0000
0.0000 0.0000 3.2396
Al H N
1 3 1
direct
0.0000 0.0000 0.0000
0.0000 0.5000 0.5000
0.5000 0.0000 0.5000
0.5000 0.5000 0.0000
0.5000 0.5000 0.5000
```


Entry 7:
Here is an optimized crystal structure of AlHN2 from Alexandria. Energies are from PBE.

Polymorph energy (0 for the lowest one) (kJ/mol of formula units): 381
Calculated density (g/cm3): 3.2

Geometry as POSCAR:
```
AlHN2
1.0
0.0000 2.4407 2.4407
2.4407 0.0000 2.4407
2.4407 2.4407 0.0000
Al H N
1 1 2
direct
0.0000 0.0000 0.0000
0.5000 0.5000 0.5000
0.2500 0.2500 0.2500
0.7500 0.7500 0.7500
```


Entry 8:
Here is an optimized crystal structure of AlHN2 from Alexandria. Energies are from PBE.

Polymorph energy (0 for the lowest one) (kJ/mol of formula units): 197
Calculated density (g/cm3): 2.8

Geometry as POSCAR:
```
AlHN2
1.0
-1.8033 1.8033 5.0292
1.8033 -1.8033 5.0292
1.8033 1.8033 -5.0292
Al H N
2 2 4
direct
0.0000 0.0000 0.0000
0.7500 0.2500 0.5000
0.2500 0.7500 0.5000
0.5000 0.5000 0.0000
0.1667 0.6250 0.0417
0.3750 0.4167 0.5417
0.5833 0.1250 0.9583
0.8750 0.8333 0.4583
```


Entry 9:
Here is an optimized crystal structure of AlHN3 from Alexandria. Energies are from PBE.

Total energy (eV/atom): -4.48
Calculated density (g/cm3): 2.3

Geometry as POSCAR:
```
AlHN3
1.0
3.7116 0.0000 0.0000
0.0000 3.7116 0.0000
0.0000 0.0000 3.7116
Al H N
1 1 3
direct
0.0000 0.0000 0.0000
0.5000 0.5000 0.5000
0.0000 0.0000 0.5000
0.0000 0.5000 0.0000
0.5000 0.0000 0.0000
```


Entry 10:
Here is an optimized crystal structure of Al3HN from Alexandria. Energies are from PBE.

Polymorph energy (0 for the lowest one) (kJ/mol of formula units): 0
Calculated density (g/cm3): 2.5

Geometry as POSCAR:
```
Al3HN
1.0
4.0110 0.0000 0.0000
0.0000 4.0110 0.0000
0.0000 0.0000 4.0110
Al H N
3 1 1
direct
0.0000 0.0000 0.5000
0.0000 0.5000 0.0000
0.5000 0.0000 0.0000
0.5000 0.5000 0.5000
0.0000 0.0000 0.0000
```


Entry 11:
Here is an optimized crystal structure of Al2H6N from Alexandria. Energies are from PBE.

Total energy (eV/atom): -3.13
Calculated density (g/cm3): 1.7

Geometry as POSCAR:
```
Al2H6N
1.0
0.0000 3.2796 3.2796
3.2796 0.0000 3.2796
3.2796 3.2796 0.0000
Al H N
2 6 1
direct
0.2500 0.2500 0.2500
0.7500 0.7500 0.7500
0.2062 0.2062 0.7938
0.2062 0.7938 0.2062
0.2062 0.7938 0.7938
0.7938 0.2062 0.2062
0.7938 0.2062 0.7938
0.7938 0.7938 0.2062
0.0000 0.0000 0.0000
```


Entry 12:
Here is an optimized crystal structure of AlHN3 from Alexandria. Energies are from PBE.

Total energy (eV/atom): -4.56
Calculated density (g/cm3): 3.4

Geometry as POSCAR:
```
AlHN3
1.0
3.2472 0.0000 0.0000
0.0000 3.2472 0.0000
0.0000 0.0000 3.2472
Al H N
1 1 3
direct
0.0000 0.0000 0.0000
0.5000 0.5000 0.5000
0.0000 0.5000 0.5000
0.5000 0.0000 0.5000
0.5000 0.5000 0.0000
```


Entry 13:
Here is an optimized crystal structure of AlH3N from Alexandria. Energies are from PBE.

Polymorph energy (0 for the lowest one) (kJ/mol of formula units): 9
Calculated density (g/cm3): 1.6

Geometry as POSCAR:
```
AlH3N
1.0
3.5470 0.0000 0.0000
0.0000 3.5470 0.0000
0.0000 0.0000 3.5470
Al H N
1 3 1
direct
0.0000 0.0000 0.0000
0.0000 0.0000 0.5000
0.0000 0.5000 0.0000
0.5000 0.0000 0.0000
0.5000 0.5000 0.5000
```


Entry 14:
Here is an optimized crystal structure of NbAlH2N from Alexandria. Energies are from PBE.

Total energy (eV/atom): -5.65
Calculated density (g/cm3): 5.3

Geometry as POSCAR:
```
NbAlH2N
1.0
3.3956 0.0000 0.0000
0.0000 3.3956 0.0000
0.0000 0.0000 3.7192
Nb Al H N
1 1 2 1
direct
0.0000 0.0000 0.0000
0.5000 0.5000 0.5000
0.0000 0.5000 0.5000
0.5000 0.0000 0.5000
0.5000 0.5000 0.0000
```


Entry 15:
Here is an optimized crystal structure of AlNiH2N from Alexandria. Energies are from PBE.

Total energy (eV/atom): -4.52
Calculated density (g/cm3): 4.2

Geometry as POSCAR:
```
AlNiH2N
1.0
3.1377 0.0000 0.0000
0.0000 3.1377 0.0000
0.0000 0.0000 4.1013
Al Ni H N
1 1 2 1
direct
0.0000 0.0000 0.0000
0.5000 0.5000 0.5000
0.0000 0.5000 0.0000
0.5000 0.0000 0.0000
0.0000 0.0000 0.5000
```


Entry 16:
Here is an optimized crystal structure of AlHN2O from Alexandria. Energies are from PBE.

Total energy (eV/atom): -4.68
Calculated density (g/cm3): 2.1

Geometry as POSCAR:
```
AlHN2O
1.0
3.9988 0.0000 0.0000
0.0000 3.9988 0.0000
0.0000 0.0000 3.5544
Al H N O
1 1 2 1
direct
0.0000 0.0000 0.0000
0.5000 0.5000 0.5000
0.0000 0.5000 0.0000
0.5000 0.0000 0.0000
0.0000 0.0000 0.5000
```


Entry 17:
Here is an optimized crystal structure of AlHNO2 from Alexandria. Energies are from PBE.

Total energy (eV/atom): -4.80
Calculated density (g/cm3): 2.3

Geometry as POSCAR:
```
AlHNO2
1.0
3.6174 0.0000 0.0000
0.0000 3.6174 0.0000
0.0000 0.0000 4.1314
Al H N O
1 1 1 2
direct
0.0000 0.0000 0.0000
0.5000 0.5000 0.5000
0.0000 0.0000 0.5000
0.0000 0.5000 0.0000
0.5000 0.0000 0.0000
```


Entry 18:
Here is an optimized crystal structure of AlHN2O from Alexandria. Energies are from PBE.

Total energy (eV/atom): -5.08
Calculated density (g/cm3): 3.3

Geometry as POSCAR:
```
AlHN2O
1.0
2.7680 0.0000 0.0000
0.0000 2.7680 0.0000
0.0000 0.0000 4.7734
Al H N O
1 1 2 1
direct
0.0000 0.0000 0.0000
0.5000 0.5000 0.5000
0.0000 0.5000 0.5000
0.5000 0.0000 0.5000
0.5000 0.5000 0.0000
```


Entry 19:
Here is an optimized crystal structure of AlHNO2 from Alexandria. Energies are from PBE.

Total energy (eV/atom): -4.64
Calculated density (g/cm3): 3.5

Geometry as POSCAR:
```
AlHNO2
1.0
3.6726 0.0000 0.0000
0.0000 3.6726 0.0000
0.0000 0.0000 2.6097
Al H N O
1 1 1 2
direct
0.0000 0.0000 0.0000
0.5000 0.5000 0.5000
0.5000 0.5000 0.0000
0.0000 0.5000 0.5000
0.5000 0.0000 0.5000
```


Entry 20:
Here is an optimized crystal structure of Al2P3H12N3O12 from Alexandria. Energies are from PBE.

Total energy (eV/atom): -6.21
Calculated density (g/cm3): 2.3

Geometry as POSCAR:
```
Al2P3H12N3O12
1.0
6.7037 -5.1232 0.0000
6.7037 5.1232 0.0000
-3.2067 0.0000 8.4244
Al P H N O
4 6 24 6 24
direct
0.0905 0.2442 0.0800
0.2442 0.0905 0.5800
0.7558 0.9095 0.4200
0.9095 0.7558 0.9200
0.0067 0.9933 0.7500
0.1710 0.4149 0.8433
0.4149 0.1710 0.3433
0.5851 0.8290 0.6567
0.8290 0.5851 0.1567
0.9933 0.0067 0.2500
0.0972 0.6259 0.4428
0.1321 0.6464 0.6392
0.2183 0.4618 0.5247
0.2893 0.6044 0.1651
0.2954 0.6405 0.5649
0.3536 0.8679 0.8608
0.3595 0.7046 0.9351
0.3741 0.9028 0.0572
0.3956 0.7107 0.3349
0.4213 0.4952 0.3012
0.4618 0.2183 0.0247
0.4952 0.4213 0.8012
0.5048 0.5787 0.1988
0.5382 0.7817 0.9753
0.5787 0.5048 0.6988
0.6044 0.2893 0.6651
0.6259 0.0972 0.9428
0.6405 0.2954 0.0649
0.6464 0.1321 0.1392
0.7046 0.3595 0.4351
0.7107 0.3956 0.8349
0.7817 0.5382 0.4753
0.8679 0.3536 0.3608
0.9028 0.3741 0.5572
0.1852 0.5925 0.5409
0.3997 0.6003 0.2500
0.4075 0.8148 0.9591
0.5925 0.1852 0.0409
0.6003 0.3997 0.7500
0.8148 0.4075 0.4591
0.9998 0.4596 0.1542
0.0002 0.5404 0.8458
0.0194 0.8245 0.7934
0.0270 0.8591 0.1068
0.1359 0.2922 0.6769
0.1409 0.9730 0.3932
0.1755 0.9806 0.7066
0.2199 0.3169 0.9766
0.2922 0.1359 0.1769
0.3150 0.5031 0.8616
0.3169 0.2199 0.4766
0.4596 0.9998 0.6542
0.4969 0.6850 0.6384
0.5031 0.3150 0.3616
0.5404 0.0002 0.3458
0.6831 0.7801 0.5234
0.6850 0.4969 0.1384
0.7078 0.8641 0.8231
0.7801 0.6831 0.0234
0.8245 0.0194 0.2934
0.8591 0.0270 0.6068
0.8641 0.7078 0.3231
0.9730 0.1409 0.8932
0.9806 0.1755 0.2066
```